No. 1
# KCo3As | the Alexandria database | GGA-PBE | optimized geometry
data_KCo3As
_chemical_formula_sum 'K1 Co3 As1'
_symmetry_space_group_name_H-M 'P m -3 m'
_symmetry_Int_Tables_number 221
_symmetry_space_group_name_Hall '-P 4 2 3'
_cell_length_a 4.591
_cell_length_b 4.591
_cell_length_c 4.591
_cell_angle_alpha 90.00
_cell_angle_beta 90.00
_cell_angle_gamma 90.00
loop_
_atom_site_label
_atom_site_fract_x
_atom_site_fract_y
_atom_site_fract_z
K1 0.000 0.000 0.000
Co1 0.000 0.500 0.500
As1 0.500 0.500 0.500
# * ΔE_f: 674.7 meV/atom
# * M_tot: 5.0 μB per cell
# * offset from the most stable computed form: 0.0 meV/atom

No. 2
# RbLiSc2 | the Alexandria database | GGA-PBE | optimized geometry
data_RbLiSc2
_chemical_formula_sum 'Rb4 Li4 Sc8'
_symmetry_space_group_name_H-M 'F m -3 m'
_symmetry_Int_Tables_number 225
_symmetry_space_group_name_Hall '-F 4 2 3'
_cell_length_a 7.774
_cell_length_b 7.774
_cell_length_c 7.774
_cell_angle_alpha 90.00
_cell_angle_beta 90.00
_cell_angle_gamma 90.00
loop_
_atom_site_label
_atom_site_fract_x
_atom_site_fract_y
_atom_site_fract_z
Rb1 0.000 0.000 0.000
Li1 0.000 0.000 0.500
Sc1 0.250 0.250 0.250
# * ΔE_f: 837.6 meV/atom
# * M_tot: 0.0 μB per cell
# * offset from the most stable computed form: 173.4 meV/atom

No. 3
# Th2Zn3Si2 | the Alexandria database | GGA-PBE | optimized geometry
data_Th2Zn3Si2
_chemical_formula_sum 'Th4 Zn6 Si4'
_symmetry_space_group_name_H-M 'C 1 2/m 1'
_symmetry_Int_Tables_number 12
_cell_length_a 10.306
_cell_length_b 4.349
_cell_length_c 6.604
_cell_angle_alpha 90.00
_cell_angle_beta 108.24
_cell_angle_gamma 90.00
loop_
_symmetry_equiv_pos_as_xyz
'x,y,z'
'-x,-y,-z'
'-x,y,-z'
'x,-y,z'
'x+1/2,y+1/2,z'
'-x+1/2,-y+1/2,-z'
'-x+1/2,y+1/2,-z'
'x+1/2,-y+1/2,z'
loop_
_atom_site_label
_atom_site_fract_x
_atom_site_fract_y
_atom_site_fract_z
Th1 0.149 0.000 0.274
Zn1 0.000 0.500 0.500
Zn2 0.096 0.500 0.917
Si1 0.152 0.000 0.756
# * DFT total energy: -4.620 eV/atom
# * M_tot: 0.0 μB per cell

No. 4
# Mg2PaNiN4 | the Alexandria database | GGA-PBE | optimized geometry
data_Mg2PaNiN4
_chemical_formula_sum 'Mg8 Pa4 Ni4 N16'
_symmetry_space_group_name_H-M 'C m c m'
_symmetry_Int_Tables_number 63
_symmetry_space_group_name_Hall '-C 2c 2'
_cell_length_a 3.314
_cell_length_b 10.795
_cell_length_c 10.410
_cell_angle_alpha 90.00
_cell_angle_beta 90.00
_cell_angle_gamma 90.00
loop_
_atom_site_label
_atom_site_fract_x
_atom_site_fract_y
_atom_site_fract_z
Mg1 0.000 0.121 0.046
Pa1 0.000 0.405 0.250
Ni1 0.000 0.332 0.750
N1 0.000 0.065 0.250
N2 0.000 0.205 0.633
N3 0.000 0.500 0.000
# * DFT total energy: -7.084 eV/atom
# * M_tot: 0.0 μB per cell

No. 5
# Tm5ScPb5 | the Alexandria database | GGA-PBE | optimized geometry
data_Tm5ScPb5
_chemical_formula_sum 'Tm10 Sc2 Pb10'
_symmetry_space_group_name_H-M 'C 1 2/m 1'
_symmetry_Int_Tables_number 12
_cell_length_a 15.553
_cell_length_b 6.160
_cell_length_c 7.196
_cell_angle_alpha 90.00
_cell_angle_beta 103.82
_cell_angle_gamma 90.00
loop_
_symmetry_equiv_pos_as_xyz
'x,y,z'
'-x,-y,-z'
'-x,y,-z'
'x,-y,z'
'x+1/2,y+1/2,z'
'-x+1/2,-y+1/2,-z'
'-x+1/2,y+1/2,-z'
'x+1/2,-y+1/2,z'
loop_
_atom_site_label
_atom_site_fract_x
_atom_site_fract_y
_atom_site_fract_z
Tm1 0.000 0.000 0.000
Tm2 0.159 0.500 0.316
Tm3 0.165 0.500 0.827
Sc1 0.000 0.000 0.500
Pb1 0.000 0.500 0.500
Pb2 0.165 0.000 0.834
Pb3 0.166 0.000 0.346
# * ΔE_f: -198.0 meV/atom
# * M_tot: 0.0 μB per cell

No. 6
# BeSiTc | the Alexandria database | GGA-PBE | optimized geometry
data_BeSiTc
_chemical_formula_sum 'Be4 Si4 Tc4'
_symmetry_space_group_name_H-M 'F m m 2'
_symmetry_Int_Tables_number 42
_symmetry_space_group_name_Hall 'F 2 -2'
_cell_length_a 2.944
_cell_length_b 4.502
_cell_length_c 11.473
_cell_angle_alpha 90.00
_cell_angle_beta 90.00
_cell_angle_gamma 90.00
loop_
_atom_site_label
_atom_site_fract_x
_atom_site_fract_y
_atom_site_fract_z
Be1 0.000 0.000 0.000
Si1 0.000 0.000 0.664
Tc1 0.000 0.000 0.337
# * M_tot: 0.0 μB per cell
# * offset from the most stable computed form: 540.1 meV/atom

No. 7
# BaYAg2O4 | the Alexandria database | GGA-PBE | optimized geometry
data_BaYAg2O4
_chemical_formula_sum 'Ba2 Y2 Ag4 O8'
_symmetry_space_group_name_H-M 'I 2 2 2'
_symmetry_Int_Tables_number 23
_cell_length_a 6.015
_cell_length_b 6.194
_cell_length_c 7.275
_cell_angle_alpha 90.00
_cell_angle_beta 90.00
_cell_angle_gamma 90.00
loop_
_symmetry_equiv_pos_as_xyz
'x,y,z'
'-x,-y,z'
'x,-y,-z'
'-x,y,-z'
'x+1/2,y+1/2,z+1/2'
'-x+1/2,-y+1/2,z+1/2'
'x+1/2,-y+1/2,-z+1/2'
'-x+1/2,y+1/2,-z+1/2'
loop_
_atom_site_label
_atom_site_fract_x
_atom_site_fract_y
_atom_site_fract_z
Ba1 0.000 0.000 0.000
Y1 0.000 0.000 0.500
Ag1 0.000 0.500 0.214
O1 0.204 0.195 0.313
# * DFT total energy: -5.947 eV/atom
# * M_tot: 0.0 μB per cell

No. 8
# Mg2HgRh | the Alexandria database | GGA-PBE | optimized geometry
data_Mg2HgRh
_chemical_formula_sum 'Mg4 Hg2 Rh2'
_symmetry_space_group_name_H-M 'I -4 m 2'
_symmetry_Int_Tables_number 119
_symmetry_space_group_name_Hall 'I -4 -2'
_cell_length_a 3.962
_cell_length_b 3.962
_cell_length_c 8.950
_cell_angle_alpha 90.00
_cell_angle_beta 90.00
_cell_angle_gamma 90.00
loop_
_atom_site_label
_atom_site_fract_x
_atom_site_fract_y
_atom_site_fract_z
Mg1 0.000 0.000 0.000
Mg2 0.000 0.500 0.250
Hg1 0.000 0.500 0.750
Rh1 0.000 0.000 0.500
# * ΔE_f: -324.2 meV/atom
# * M_tot: 0.0 μB per cell

No. 9
# Sr2Li2Br | the Alexandria database | GGA-PBE | optimized geometry
data_Sr2Li2Br
_chemical_formula_sum 'Sr4 Li4 Br2'
_symmetry_space_group_name_H-M 'P 4/m b m'
_symmetry_Int_Tables_number 127
_symmetry_space_group_name_Hall '-P 4 2ab'
_cell_length_a 8.723
_cell_length_b 8.723
_cell_length_c 5.102
_cell_angle_alpha 90.00
_cell_angle_beta 90.00
_cell_angle_gamma 90.00
loop_
_atom_site_label
_atom_site_fract_x
_atom_site_fract_y
_atom_site_fract_z
Sr1 0.178 0.322 0.000
Li1 0.113 0.613 0.500
Br1 0.000 0.000 0.000
# * M_tot: 0.0 μB per cell
# * offset from the most stable computed form: 0.0 meV/atom

No. 10
# Mn3V4Co2 | the Alexandria database | GGA-PBE | optimized geometry
data_Mn3V4Co2
_chemical_formula_sum 'Mn3 V4 Co2'
_symmetry_space_group_name_H-M 'P -3 m 1'
_symmetry_Int_Tables_number 164
_symmetry_space_group_name_Hall '-P 3 2"'
_cell_length_a 4.0808
_cell_length_b 4.0808
_cell_length_c 7.4465
_cell_angle_alpha 90.00
_cell_angle_beta 90.00
_cell_angle_gamma 120.00
loop_
_atom_site_label
_atom_site_fract_x
_atom_site_fract_y
_atom_site_fract_z
Mn1 0.0000 0.0000 0.0000
Mn2 0.3333 0.6667 0.5649
V1 0.0000 0.0000 0.3367
V2 0.3333 0.6667 0.8881
Co1 0.3333 0.6667 0.2219
# * ΔE_f: -94.6 meV/atom
# * M_tot: 4.4 μB per cell

No. 11
# CuRe2Bi | the Alexandria database | GGA-PBE | optimized geometry
data_CuRe2Bi
_chemical_formula_sum 'Cu4 Re8 Bi4'
_symmetry_space_group_name_H-M 'I -4 2 d'
_symmetry_Int_Tables_number 122
_symmetry_space_group_name_Hall 'I -4 2bw'
_cell_length_a 3.968
_cell_length_b 3.968
_cell_length_c 19.108
_cell_angle_alpha 90.00
_cell_angle_beta 90.00
_cell_angle_gamma 90.00
loop_
_atom_site_label
_atom_site_fract_x
_atom_site_fract_y
_atom_site_fract_z
Cu1 0.000 0.000 0.000
Re1 0.177 0.250 0.125
Bi1 0.000 0.000 0.500
# * ΔE_f: 820.4 meV/atom
# * M_tot: 0.0 μB per cell

No. 12
# InAs2SeBr | the Alexandria database | GGA-PBE | optimized geometry
data_InAs2SeBr
_chemical_formula_sum 'In1 As2 Se1 Br1'
_symmetry_space_group_name_H-M 'P 4/m m m'
_symmetry_Int_Tables_number 123
_symmetry_space_group_name_Hall '-P 4 2'
_cell_length_a 5.332
_cell_length_b 5.332
_cell_length_c 5.755
_cell_angle_alpha 90.00
_cell_angle_beta 90.00
_cell_angle_gamma 90.00
loop_
_atom_site_label
_atom_site_fract_x
_atom_site_fract_y
_atom_site_fract_z
In1 0.000 0.000 0.000
As1 0.000 0.500 0.500
Se1 0.500 0.500 0.000
Br1 0.500 0.500 0.500
# * M_tot: 1.0 μB per cell
# * offset from the most stable computed form: 425.9 meV/atom